[1]
Compound: CaAc4Hg4
Source: Alexandria
Functional: PBE
Structure: relaxed

Results
* space group: P4_2/n (86)
* calculated total energy: -44.61 eV per cell
* calculated density: 8.81 g cm⁻³
* spin magnetization: 0.000 μB/atom
* DOS at the Fermi energy: 1.46 states/eV/atom
* E_form: -0.30 eV per atom

Cell lengths 6.7684, 9.8745, 9.8745 Å; angles 90.00, 90.00, 90.00 degrees
With the nearest neighbours (Å) after each atom.
Sites, in units of the cell vectors:
Ca 0.0000 0.0000 0.0000  4 Hg 3.00
Ca 0.5000 0.5000 0.5000  4 Hg 3.00
Ac 0.3990 0.2899 0.9131  5 Hg 3.26-3.49
Ac 0.8990 0.5869 0.7899  5 Hg 3.26-3.49
Ac 0.3990 0.7101 0.0869  5 Hg 3.26-3.49
Ac 0.1010 0.2101 0.5869  5 Hg 3.26-3.49
Ac 0.6010 0.9131 0.7101  5 Hg 3.26-3.49
Ac 0.1010 0.7899 0.4131  5 Hg 3.26-3.49
Ac 0.8990 0.4131 0.2101  5 Hg 3.26-3.49
Ac 0.6010 0.0869 0.2899  5 Hg 3.26-3.49
Hg 0.6156 0.7724 0.3903  1 Ca 3.00, 2 Ac 3.26-3.30, 1 Hg 3.34
Hg 0.6156 0.2276 0.6097  1 Ca 3.00, 2 Ac 3.26-3.30, 1 Hg 3.34
Hg 0.1156 0.8903 0.7276  1 Ca 3.00, 2 Ac 3.26-3.30, 1 Hg 3.34
Hg 0.8844 0.2724 0.8903  1 Ca 3.00, 2 Ac 3.26-3.30, 1 Hg 3.34
Hg 0.8844 0.7276 0.1097  1 Ca 3.00, 2 Ac 3.26-3.30, 1 Hg 3.34
Hg 0.3844 0.3903 0.2276  1 Ca 3.00, 2 Ac 3.26-3.30, 1 Hg 3.34
Hg 0.3844 0.6097 0.7724  1 Ca 3.00, 2 Ac 3.26-3.30, 1 Hg 3.34
Hg 0.1156 0.1097 0.2724  1 Ca 3.00, 2 Ac 3.26-3.30, 1 Hg 3.34

[2]
Compound: TbPmPr5Dy2
Source: Alexandria
Functional: PBE
Structure: relaxed

Results
* space group: Cmc2_1 (36)
* calculated total energy: -82.43 eV per cell
* calculated density: 6.97 g cm⁻³
* spin magnetization: 0.000 μB/atom
* DOS at the Fermi energy: 1.56 states/eV/atom
* E_form: 0.14 eV per atom

Cell lengths 5.7103, 10.6963, 10.7880 Å; angles 90.00, 90.00, 105.48 degrees
With the nearest neighbours (Å) after each atom.
Sites, in units of the cell vectors:
Tb 0.5908 0.1815 0.9588  5 Pr 3.10-3.41
Tb 0.4092 0.8185 0.4588  5 Pr 3.10-3.41
Pm 0.8000 0.6000 0.5099  2 Dy 3.45-3.72, 7 Pr 3.54-3.85, 2 Tb 3.68
Pm 0.2000 0.4000 0.0099  2 Dy 3.45-3.72, 7 Pr 3.54-3.85, 2 Tb 3.68
Pr 0.3886 0.7773 0.0243  6 Pr 3.58-3.95, 4 Dy 3.64-3.67, 1 Pm 3.89
Pr 0.7198 0.4396 0.8111  1 Tb 3.10, 1 Dy 3.38, 2 Pr 3.46
Pr 0.4808 0.9616 0.7434  2 Tb 3.25-3.41, 2 Dy 3.57, 2 Pr 3.58
Pr 0.2958 0.5916 0.7039  3 Pr 3.46-3.84, 1 Tb 3.53, 3 Pm 3.54-3.85, 3 Dy 3.59-3.82
Pr 0.9843 0.9687 0.5200  2 Tb 3.31, 3 Dy 3.50-3.63
Pr 0.6114 0.2227 0.5243  6 Pr 3.58-3.95, 4 Dy 3.64-3.67, 1 Pm 3.89
Pr 0.2802 0.5604 0.3111  1 Tb 3.10, 1 Dy 3.38, 2 Pr 3.46
Pr 0.5192 0.0384 0.2434  2 Tb 3.25-3.41, 2 Dy 3.57, 2 Pr 3.58
Pr 0.7042 0.4084 0.2039  3 Pr 3.46-3.84, 1 Tb 3.53, 3 Pm 3.54-3.85, 3 Dy 3.59-3.82
Pr 0.0157 0.0313 0.0200  2 Tb 3.31, 3 Dy 3.50-3.63
Dy 0.8839 0.7678 0.8146  8 Pr 3.38-3.64, 1 Pm 3.72
Dy 0.1116 0.2231 0.7379  1 Pm 3.45, 7 Pr 3.52-3.82, 2 Tb 3.74
Dy 0.1161 0.2322 0.3146  8 Pr 3.38-3.64, 1 Pm 3.72
Dy 0.8884 0.7769 0.2379  1 Pm 3.45, 7 Pr 3.52-3.82, 2 Tb 3.74

[3]
Compound: CuOsRh2
Source: Alexandria
Functional: PBE
Structure: relaxed

Results
* space group: F-43m (216)
* calculated total energy: -28.43 eV per cell
* calculated density: 13.68 g cm⁻³
* spin magnetization: 0.000 μB/atom
* DOS at the Fermi energy: 1.61 states/eV/atom
* E_form: 0.40 eV per atom
* energy above the most stable polymorph in this dataset: 36.3 kJ/mol of atoms

Cell lengths 4.2891, 4.2891, 4.2889 Å; angles 60.00, 60.00, 60.00 degrees
With the nearest neighbours (Å) after each atom.
Sites, in units of the cell vectors:
Cu 0.7500 0.7500 0.7500  4 Os 2.63, 4 Rh 2.63
Os 0.5000 0.5000 0.5000  4 Cu 2.63, 4 Rh 2.63
Rh 0.0000 0.0000 0.0000  4 Rh 2.63, 4 Cu 2.63
Rh 0.2500 0.2500 0.2500  4 Rh 2.63, 4 Os 2.63

[4]
Compound: Li2Cd3
Source: Alexandria
Functional: PBE
Structure: relaxed

Results
* space group: R-3m (166)
* calculated total energy: -7.31 eV per cell
* calculated density: 5.74 g cm⁻³
* spin magnetization: 0.000 μB/atom
* DOS at the Fermi energy: 0.42 states/eV/atom
* E_form: -0.15 eV per atom
* energy above the most stable polymorph in this dataset: 4.4 kJ/mol of atoms

Cell lengths 12.6146, 12.6146, 12.6146 Å; angles 13.95, 13.95, 13.95 degrees
With the nearest neighbours (Å) after each atom.
Sites, in units of the cell vectors:
Li 0.6013 0.6013 0.6013  6 Cd 2.95-3.02, 6 Li 3.06
Li 0.3987 0.3987 0.3987  6 Cd 2.95-3.02, 6 Li 3.06
Cd 0.0000 0.0000 0.0000  6 Li 3.02, 6 Cd 3.06
Cd 0.2051 0.2051 0.2051  3 Li 2.95, 6 Cd 3.06
Cd 0.7949 0.7949 0.7949  3 Li 2.95, 6 Cd 3.06

[5]
Compound: ThU6Fe12
Source: Alexandria
Functional: PBE
Structure: relaxed

Results
* space group: R-3m (166)
* calculated total energy: -173.87 eV per cell
* calculated density: 12.45 g cm⁻³
* spin magnetization: 0.000 μB/atom
* DOS at the Fermi energy: 0.98 states/eV/atom
* E_form: 0.15 eV per atom

Cell lengths 7.2792, 7.2792, 7.2792 Å; angles 108.13, 108.13, 108.13 degrees
With the nearest neighbours (Å) after each atom.
Sites, in units of the cell vectors:
Th 0.0000 0.0000 0.0000  6 Fe 3.24, 6 U 3.51
U 0.5675 0.2215 0.2215  4 Fe 2.31-2.43
U 0.2215 0.2215 0.5675  4 Fe 2.31-2.43
U 0.2215 0.5675 0.2215  4 Fe 2.31-2.43
U 0.7785 0.7785 0.4325  4 Fe 2.31-2.43
U 0.4325 0.7785 0.7785  4 Fe 2.31-2.43
U 0.7785 0.4325 0.7785  4 Fe 2.31-2.43
Fe 0.8509 0.1491 0.5000  4 U 2.43-2.72, 4 Fe 2.52-2.61
Fe 0.9159 0.5871 0.5871  2 U 2.31, 3 Fe 2.38-2.52
Fe 0.5871 0.5871 0.9159  2 U 2.31, 3 Fe 2.38-2.52
Fe 0.4129 0.0841 0.4129  2 U 2.31, 3 Fe 2.38-2.52
Fe 0.4129 0.4129 0.0841  2 U 2.31, 3 Fe 2.38-2.52
Fe 0.0841 0.4129 0.4129  2 U 2.31, 3 Fe 2.38-2.52
Fe 0.1491 0.5000 0.8509  4 U 2.43-2.72, 4 Fe 2.52-2.61
Fe 0.5000 0.8509 0.1491  4 U 2.43-2.72, 4 Fe 2.52-2.61
Fe 0.1491 0.8509 0.5000  4 U 2.43-2.72, 4 Fe 2.52-2.61
Fe 0.8509 0.5000 0.1491  4 U 2.43-2.72, 4 Fe 2.52-2.61
Fe 0.5000 0.1491 0.8509  4 U 2.43-2.72, 4 Fe 2.52-2.61
Fe 0.5871 0.9159 0.5871  2 U 2.31, 3 Fe 2.38-2.52

[6]
Compound: Mg2InAgSe
Source: Alexandria
Functional: PBE
Structure: relaxed

Results
* space group: P4/mmm (123)
* calculated total energy: -11.63 eV per cell
* calculated density: 4.15 g cm⁻³
* spin magnetization: 0.000 μB/atom
* formation energy (no corrections): 2.93 kcal/mol of atoms
* DOS at the Fermi energy: 0.36 states/eV/atom

Cell lengths 5.1344, 5.3200, 5.1344 Å; angles 90.00, 90.00, 90.00 degrees
With the nearest neighbours (Å) after each atom.
Sites, in units of the cell vectors:
Mg 0.0000 0.0000 0.5000  2 Ag 2.57
Mg 0.5000 0.0000 0.0000  2 Ag 2.57
Se 0.0000 0.5000 0.0000  2 Ag 2.66
Ag 0.0000 0.0000 0.0000  4 Mg 2.57, 2 Se 2.66
In 0.5000 0.5000 0.5000  4 Se 3.63, 8 Mg 3.70

[7]
Compound: Ac7SiSn2
Source: Alexandria
Functional: PBE
Structure: relaxed

Results
* space group: Fm-3m (225)
* calculated total energy: -39.20 eV per cell
* calculated density: 7.08 g cm⁻³
* spin magnetization: 0.000 μB/atom
* formation energy (no corrections): 6.88 kcal/mol of atoms
* DOS at the Fermi energy: 0.86 states/eV/atom

Cell lengths 8.5061, 8.5061, 8.5061 Å; angles 60.00, 60.00, 60.00 degrees
With the nearest neighbours (Å) after each atom.
Sites, in units of the cell vectors:
Ac 0.5000 0.5000 0.5000  6 Ac 3.13
Ac 0.2401 0.7599 0.7599  1 Si 2.89, 1 Ac 3.13
Ac 0.2401 0.7599 0.2401  1 Si 2.89, 1 Ac 3.13
Ac 0.7599 0.2401 0.7599  1 Si 2.89, 1 Ac 3.13
Ac 0.7599 0.7599 0.2401  1 Si 2.89, 1 Ac 3.13
Ac 0.2401 0.2401 0.7599  1 Si 2.89, 1 Ac 3.13
Ac 0.7599 0.2401 0.2401  1 Si 2.89, 1 Ac 3.13
Si 0.0000 0.0000 0.0000  6 Ac 2.89
Sn 0.2500 0.2500 0.2500  12 Ac 4.25
Sn 0.7500 0.7500 0.7500  12 Ac 4.25

[8]
Compound: KBeNi2
Source: Alexandria
Functional: PBE
Structure: relaxed

Results
* space group: R-3m (166)
* calculated total energy: -14.33 eV per cell
* calculated density: 4.76 g cm⁻³
* spin magnetization: 0.000 μB/atom
* DOS at the Fermi energy: 0.65 states/eV/atom
* E_form: 0.51 eV per atom

Cell lengths 8.4946, 8.4946, 8.4946 Å; angles 19.16, 19.16, 19.16 degrees
With the nearest neighbours (Å) after each atom.
Sites, in units of the cell vectors:
Ni 0.0251 0.0251 0.0251  3 Be 2.19
Ni 0.4749 0.4749 0.4749  3 Be 2.19
K 0.2500 0.2500 0.2500  6 K 2.83, 6 Ni 3.16
Be 0.7500 0.7500 0.7500  6 Ni 2.19

Which value of calculated density does entry 6 give?
4.15 g cm⁻³

The highest calculated density belongs to which entry?
CuOsRh2

DOS at the Fermi energy of number 4 (Li2Cd3)?
0.42 states/eV/atom

Which value of calculated density does entry 6 give?
4.15 g cm⁻³